Entry 1:
The following is a DFT calculation (PBE) of crystalline BRu2W at its relaxed geometry.

Cell and atoms, written as POSCAR:
```
BRu2W
1.0
-0.572 -1.647 -4.934
-1.031 -4.829 1.731
-5.519 -2.163 -1.413
Ru B W
4 2 2
Cartesian
-1.827 -2.059 -2.878
-2.135 -3.879 -0.230
-4.812 -4.385 -2.140
-5.471 -6.954 -3.981
-0.802 -3.238 -1.601
-3.676 -5.115 -0.641
0.000 0.000 0.000
-3.447 -3.524 -3.974
```

space group	I-42d, No. 122
formation energy	723	meV per atom


Entry 2:
The following is a DFT calculation (PBE) of crystalline BRu6W2 at its relaxed geometry.

Cell and atoms, written as POSCAR:
```
BRu6W2
1.0
-4.001 -3.481 -1.742
-2.899 -3.000 3.709
-5.364 1.199 0.979
B Ru W
1 6 2
Cartesian
-6.132 -2.641 1.473
-5.735 -0.655 1.217
-4.460 -2.827 2.630
-7.804 -2.455 0.316
-5.030 -3.076 -0.190
-7.234 -2.206 3.136
-6.530 -4.628 1.729
-3.066 -1.321 0.736
-9.198 -3.962 2.209
```

space group	Fm-3m, No. 225
formation energy	-120	meV per atom


Entry 3:
The following is a DFT calculation (PBE) of crystalline BRu2W at its relaxed geometry.

Cell and atoms, written as POSCAR:
```
BRu2W
1.0
-0.645 -0.272 2.664
-2.127 -1.613 -0.680
3.876 -5.280 0.399
Ru B W
2 1 1
Cartesian
3.106 -4.231 0.320
0.770 -1.049 0.079
-1.386 -0.943 0.992
0.552 -3.583 1.192
```

space group	P4/mmm, No. 123
formation energy	-15	meV per atom


Entry 4:
The following is a DFT calculation (PBE) of crystalline BRu3W at its relaxed geometry.

Cell and atoms, written as POSCAR:
```
BRu3W
1.0
-2.768 2.582 -2.756
2.529 -1.271 -3.730
-2.805 -3.694 -0.644
Ru B W
3 1 1
Cartesian
1.265 -0.635 -1.865
-1.402 -1.847 -0.322
-1.384 1.291 -1.378
-1.522 -1.191 -3.565
0.000 0.000 0.000
```

space group	Pm-3m, No. 221
relative energy among the computed polymorphs	2.441	eV per atom
formation energy	2501	meV per atom


Entry 5:
The following is a DFT calculation (PBE) of crystalline B3RuW at its relaxed geometry.

Cell and atoms, written as POSCAR:
```
B3RuW
1.0
-3.867 0.319 -0.534
-0.553 -3.298 2.040
-0.283 2.089 3.301
Ru B W
1 3 1
Cartesian
0.000 0.000 0.000
-0.277 -1.649 1.020
-0.142 1.045 1.651
-1.934 0.159 -0.267
-2.352 -0.445 2.404
```

space group	Pm-3m, No. 221
relative energy among the computed polymorphs	0.000	eV per atom
formation energy	1511	meV per atom


Entry 6:
The following is a DFT calculation (PBE) of crystalline B2RuW at its relaxed geometry.

Cell and atoms, written as POSCAR:
```
B2RuW
1.0
-0.112 -2.964 -0.002
2.222 -0.087 4.036
-5.253 0.196 2.897
B Ru W
4 2 2
Cartesian
-1.286 0.045 4.219
0.598 -0.024 1.422
-0.599 -1.465 4.858
-4.856 -1.304 3.347
-3.306 0.123 2.471
0.995 -0.040 4.064
-0.895 -1.452 2.474
-3.000 -1.375 4.871
```

space group	Pmc2_1, No. 26
relative energy among the computed polymorphs	0.000	eV per atom
formation energy	-237	meV per atom


Entry 7:
The following is a DFT calculation (PBE) of crystalline BRu2W3 at its relaxed geometry.

Cell and atoms, written as POSCAR:
```
BRu2W3
1.0
-1.775 -1.507 -1.511
0.838 -3.516 2.524
-5.460 3.536 2.888
B Ru W
1 2 3
Cartesian
0.000 0.000 0.000
-4.212 -1.192 3.588
-2.186 -0.296 0.314
-1.499 -1.082 2.841
-3.123 1.101 2.571
-0.469 -2.512 0.507
```

space group	Cmmm, No. 65
formation energy	117	meV per atom


Entry 8:
The following is a DFT calculation (PBE) of crystalline BRuW at its relaxed geometry.

Cell and atoms, written as POSCAR:
```
BRuW
1.0
-0.204 0.053 2.986
-3.675 -5.353 -0.156
8.991 -6.193 0.724
B Ru W
6 6 6
Cartesian
0.521 -0.853 1.551
4.591 -10.640 2.003
3.351 -2.802 1.779
1.761 -8.691 1.775
0.221 -4.500 0.095
5.095 -7.046 0.473
-0.674 -3.112 1.510
5.786 -8.381 2.044
1.672 -4.728 1.699
3.440 -6.765 1.855
-0.829 -5.855 1.548
5.941 -5.638 2.006
7.902 -7.056 0.665
-2.586 -4.490 -0.097
4.080 -4.423 0.357
1.235 -7.123 0.211
1.672 -2.387 0.157
3.644 -9.159 0.411
```

space group	Pmma, No. 51
formation energy	-232	meV per atom